The following is a DFT calculation (PBE with a Hubbard U) of a geometry-optimized TiV2CdO6 structure.

Unit cell a=5.364 b=5.019 c=5.019 alpha=90.00 beta=90.00 gamma=90.00
Each line ends with the local moment (μB).
Fractional positions:
1 O 0.762 0.758 0.242  -0.04
2 V 0.947 0.500 0.000  1.97
3 O 0.762 0.758 0.758  -0.04
4 O 0.762 0.242 0.242  -0.04
5 V 0.947 0.000 0.500  1.97
6 O 0.265 0.000 0.000  0.00
7 O 0.128 0.500 0.500  -0.05
8 O 0.762 0.242 0.758  -0.04
9 Ti 0.602 0.000 0.000  0.03
10 Cd 0.509 0.500 0.500  0.01

Summary:
Theoretical density (g/cm3): 4.40
DFT total energy (eV for the cell shown): -70.6